Here is a geometry-optimized LiMoOsO6 structure from the Alexandria database. Energies are from PBE+U.

a b c (Å): 4.7714 4.7714 9.0149
angles (deg): 90.00 90.00 90.00
Site moments in Bohr magnetons follow the coordinates.
Positions (direct):
1 Li 0.5000 0.5000 0.5024  0.00
2 Li 0.0000 0.0000 0.0024  0.00
3 Mo 0.5000 0.5000 0.1734  0.13
4 Mo 0.0000 0.0000 0.6734  0.13
5 Os 0.5000 0.5000 0.8279  0.43
6 Os 0.0000 0.0000 0.3279  0.43
7 O 0.1800 0.8200 0.4978  0.03
8 O 0.8200 0.1800 0.4978  0.03
9 O 0.3200 0.3200 0.9978  0.03
10 O 0.6800 0.6800 0.9978  0.03
11 O 0.2106 0.7894 0.1857  0.04
12 O 0.7894 0.2106 0.1857  0.04
13 O 0.2894 0.2894 0.6857  0.04
14 O 0.7106 0.7106 0.6857  0.04
15 O 0.7854 0.2146 0.8147  -0.01
16 O 0.2146 0.7854 0.8147  -0.01
17 O 0.7146 0.7146 0.3147  -0.01
18 O 0.2854 0.2854 0.3147  -0.01

Calculated values
* calculated density: 6.30 Mg/m³
* DFT total energy: -6.953 eV/atom